(1)
Density functional theory data (PBE) for a geometry-optimized SrTiGa2O6 structure.

Properties
Raw formation energy (eV/f.u.): -24.36
DOS(E_F) (states/eV per atom): 0.00

Cell: 9.079 11.328 6.263 Å, 90.00 115.75 90.00°
Space group C2/c (No. 15)
Unique sites:
Sr1 0.000 0.108 0.250 [4 per cell]
Ti1 0.000 0.196 0.750 [4 per cell]
Ga1 0.129 0.425 0.163 [8 per cell]
O1 0.094 0.267 0.041 [8 per cell]
O2 0.122 0.446 0.464 [8 per cell]
O3 0.132 0.087 0.698 [8 per cell]

=====

(2)
Density functional theory data (PBE) for a geometry-optimized SrTiGaO4 structure.

Properties
Raw formation energy (eV/f.u.): -15.21
DOS(E_F) (states/eV per atom): 0.21

Cell: 8.448 8.448 8.448 Å, 90.00 90.00 90.00°
Space group F-43m (No. 216)
Unique sites:
Sr1 0.000 0.000 0.000 [4 per cell]
Ti1 0.250 0.250 0.250 [4 per cell]
Ga1 0.000 0.000 0.500 [4 per cell]
O1 0.126 0.126 0.374 [16 per cell]

=====

(3)
Density functional theory data (PBE) for a geometry-optimized Sr3Ti3Ga8O20 structure.

Properties
Raw formation energy (eV/f.u.): -79.87
DOS(E_F) (states/eV per atom): 0.16

Cell: 15.857 11.836 5.197 Å, 90.00 109.09 90.00°
Space group C2/m (No. 12)
Unique sites:
Sr1 0.000 0.000 0.000 [2 per cell]
Sr2 0.229 0.500 0.703 [4 per cell]
Ti1 0.000 0.374 0.500 [4 per cell]
Ti2 0.000 0.500 0.000 [2 per cell]
Ga1 0.140 0.282 0.167 [8 per cell]
Ga2 0.143 0.136 0.654 [8 per cell]
O1 0.070 0.500 0.404 [4 per cell]
O2 0.075 0.380 0.894 [8 per cell]
O3 0.082 0.253 0.425 [8 per cell]
O4 0.096 0.000 0.492 [4 per cell]
O5 0.141 0.139 0.011 [8 per cell]
O6 0.241 0.363 0.349 [8 per cell]

=====

(4)
Density functional theory data (PBE) for a geometry-optimized Sr3TiGa2O8 structure.

Properties
Raw formation energy (eV/f.u.): -35.76
DOS(E_F) (states/eV per atom): 0.00

Cell: 5.6146 5.6146 7.1492 Å, 90.00 90.00 120.00°
Space group P-3m1 (No. 164)
Unique sites:
Sr1 0.0000 0.0000 0.0000 [1 per cell]
Sr2 0.3333 0.6667 0.6430 [2 per cell]
Ti1 0.0000 0.0000 0.5000 [1 per cell]
Ga1 0.3333 0.6667 0.2092 [2 per cell]
O1 0.1624 0.3249 0.3343 [6 per cell]
O2 0.3333 0.6667 0.9623 [2 per cell]

=====

(5)
Density functional theory data (PBE) for a geometry-optimized Sr2TlGaO4 structure.

Properties
Raw formation energy (eV/f.u.): -16.33
DOS(E_F) (states/eV per atom): 0.00

Cell: 3.541 13.058 12.327 Å, 90.00 90.00 90.00°
Space group Cmcm (No. 63)
Unique sites:
Sr1 0.000 0.129 0.035 [8 per cell]
Tl1 0.000 0.423 0.250 [4 per cell]
Ga1 0.000 0.310 0.750 [4 per cell]
O1 0.000 0.112 0.250 [4 per cell]
O2 0.000 0.247 0.618 [8 per cell]
O3 0.000 0.500 0.000 [4 per cell]

=====

(6)
Density functional theory data (PBE) for a geometry-optimized SrTlGaO4 structure.

Properties
Raw formation energy (eV/f.u.): -11.64

Cell: 5.791 5.883 6.776 Å, 90.00 107.40 90.00°
Space group P2_1/m (No. 11)
Unique sites:
Sr1 0.228 0.250 0.441 [2 per cell]
Tl1 0.311 0.250 0.957 [2 per cell]
Ga1 0.227 0.750 0.170 [2 per cell]
O1 0.007 0.750 0.912 [2 per cell]
O2 0.033 0.750 0.343 [2 per cell]
O3 0.467 0.518 0.220 [4 per cell]

=====

(7)
Density functional theory data (PBE) for a geometry-optimized Sr3TmGa2O8 structure.

Properties
Raw formation energy (eV/f.u.): -34.38
DOS(E_F) (states/eV per atom): 0.91

Cell: 5.8698 5.8698 7.2572 Å, 90.00 90.00 120.00°
Space group P-3m1 (No. 164)
Unique sites:
Sr1 0.0000 0.0000 0.0000 [1 per cell]
Sr2 0.3333 0.6667 0.6384 [2 per cell]
Tm1 0.0000 0.0000 0.5000 [1 per cell]
Ga1 0.3333 0.6667 0.2023 [2 per cell]
O1 0.1690 0.3379 0.3154 [6 per cell]
O2 0.3333 0.6667 0.9549 [2 per cell]

=====

(8)
Density functional theory data (PBE) for a geometry-optimized SrTmGaO4 structure.

Properties
Raw formation energy (eV/f.u.): -19.00
DOS(E_F) (states/eV per atom): 0.00

Cell: 5.683 5.775 6.835 Å, 90.00 108.34 90.00°
Space group P2_1/m (No. 11)
Unique sites:
Sr1 0.221 0.250 0.440 [2 per cell]
Tm1 0.312 0.250 0.964 [2 per cell]
Ga1 0.232 0.750 0.172 [2 per cell]
O1 0.006 0.750 0.913 [2 per cell]
O2 0.026 0.750 0.334 [2 per cell]
O3 0.473 0.515 0.208 [4 per cell]